Density functional theory data (PBE) for crystalline SrLiGdPd at its relaxed geometry.

Unit cell a=5.2426 b=5.2426 c=5.2426 alpha=60.00 beta=60.00 gamma=60.00
Atoms (fractional coordinates):
Sr 0.0000 0.0000 0.0000
Li 0.2500 0.2500 0.2500
Gd 0.5000 0.5000 0.5000
Pd 0.7500 0.7500 0.7500

Properties
Theoretical density   5.8 g/cm³
Size of the total moment   7.5 μB/cell
Space-group type   F-43m (216)
Calculated formation energy   -0.25 eV per atom